BeCuAgPd | Alexandria | PBE-GGA | optimized geometry; symmetry = F-43m; DFT total energy = -4.0276 eV/atom; DOS at the Fermi energy = 0.5223 states/eV per atom; crystal system = cubic; M_tot = 0.00 μB/cell; DFT formation energy = -0.0610 eV/atom
1.0
-2.672 1.421 2.956
-1.128 -2.510 3.214
1.404 0.808 3.909
Be Cu Pd Ag
1 1 1 1
Cartesian
-1.797 -0.211 7.559
-0.599 -0.070 2.520
-1.198 -0.140 5.040
0.000 0.000 0.000